The following is a DFT calculation (PBE+U) of a geometry-optimized RbPaVO6 structure.

VASP energy ... -7.42 eV per atom

Cell lengths 4.990, 5.595, 5.595 Å; angles 120.00, 90.00, 90.00 degrees
Each line ends with the local moment (μB).
Sites, in units of the cell vectors:
Rb (0.500, 0.667, 0.333)  0.00
Pa (0.000, 0.333, 0.667)  -0.07
V (0.500, 0.000, 0.000)  -0.13
O (0.734, 0.691, 0.810)  0.16
O (0.734, 0.190, 0.880)  0.16
O (0.734, 0.120, 0.309)  0.16
O (0.266, 0.190, 0.309)  0.16
O (0.266, 0.691, 0.880)  0.16
O (0.266, 0.120, 0.810)  0.16